No. 1
VASP calculation (PBE) on crystalline SrIn4Au6 at its relaxed geometry.

a b c (Å): 4.5602 7.9691 7.9691
angles (deg): 120.00 90.00 90.00
Fractional positions:
Au: 0.5000 0.7212 0.9268
Sr: 0.0000 0.3333 0.6667
Au: 0.0000 0.7103 0.1426
In: 0.5000 0.4510 0.0698
Au: 0.5000 0.0732 0.7944
Au: 0.5000 0.2056 0.2788
In: 0.5000 0.6188 0.5490
Au: 0.0000 0.8574 0.5677
Au: 0.0000 0.4323 0.2897
In: 0.5000 0.9302 0.3812
In: 0.0000 0.0000 0.0000

SG ... P-6, No. 174
Calculated volume ... 22.80 Å³/atom
Total moment ... 0.00 μB/f.u.
Distance to the lowest polymorph of the same formula ... 0 meV/atom
Uncorrected energy ... -3.284 eV/atom
ρ ... 11.4 g/cm3

=====

No. 2
VASP calculation (PBE) on crystalline CuBTe2I at its relaxed geometry.

a b c (Å): 5.1383 5.1383 5.4004
angles (deg): 90.00 90.00 90.00
Fractional positions:
Te: 0.0000 0.5000 0.0000
Cu: 0.0000 0.0000 0.0000
B: 0.5000 0.5000 0.5000
I: 0.0000 0.0000 0.5000
Te: 0.5000 0.0000 0.0000

SG ... P4/mmm, No. 123
Calculated volume ... 28.52 Å³/atom
Total moment ... 0.00 μB/f.u.
Distance to the lowest polymorph of the same formula ... 228 meV/atom
Uncorrected energy ... -2.513 eV/atom
ρ ... 5.3 g/cm3

=====

> Among the records above, which one has the highest calculated volume?

CuBTe2I